Entry 1:
DFT (PBE) results for Zn2IrOs after structural relaxation.

Values from the calculation:
Its formation energy is 0.25 eV per atom. The total energy comes out at -0.1989 Ha/atom. The crystal system is cubic. The value obtained for the energy above the lowest structure with this stoichiometry is 0.94 eV/f.u.

Cell: 4.334 4.334 4.334 Å, 60.00 60.00 60.00°
Element x y z (fractional)
Zn 0.000 0.000 0.000
Zn 0.250 0.250 0.250
Ir 0.750 0.750 0.750
Os 0.500 0.500 0.500

---

Entry 2:
DFT (PBE) results for Ti2Sb2Te after structural relaxation.

Values from the calculation:
The calculation puts the energy relative to the elements, uncorrected at -0.111 eV/atom. The total energy comes out at -0.2038 Ha/atom. The crystal system is tetragonal. The value obtained for the energy above the lowest structure with this stoichiometry is 1.25 eV/f.u.

Cell: 7.435 7.435 7.435 Å, 147.59 147.59 46.50°
Element x y z (fractional)
Ti 0.104 0.104 0.000
Ti 0.896 0.896 0.000
Sb 0.250 0.750 0.500
Sb 0.750 0.250 0.500
Te 0.500 0.500 0.000

---

Entry 3:
DFT (PBE) results for HoGa3NiAu after structural relaxation.

Values from the calculation:
Its formation energy is -0.37 eV per atom. The total energy comes out at -0.1526 Ha/atom. The crystal system is orthorhombic.

Cell: 6.839 6.839 6.011 Å, 90.00 90.00 129.28°
Element x y z (fractional)
Ho 0.216 0.784 0.750
Ho 0.784 0.216 0.250
Ga 0.216 0.216 0.000
Ga 0.216 0.216 0.500
Ga 0.368 0.632 0.250
Ga 0.632 0.368 0.750
Ga 0.784 0.784 0.000
Ga 0.784 0.784 0.500
Ni 0.428 0.572 0.750
Ni 0.572 0.428 0.250
Au 0.161 0.839 0.250
Au 0.839 0.161 0.750

---

Entry 4:
DFT (PBE) results for Ti2CuTeI after structural relaxation.

Values from the calculation:
The calculation puts the energy relative to the elements, uncorrected at 0.827 eV/atom. The total energy comes out at -0.1503 Ha/atom. The crystal system is tetragonal.

Cell: 5.205 5.205 4.782 Å, 90.00 90.00 90.00°
Element x y z (fractional)
Ti 0.000 0.500 0.000
Ti 0.500 0.000 0.000
Cu 0.000 0.000 0.500
Te 0.500 0.500 0.500
I 0.000 0.000 0.000

---

Entry 5:
DFT (PBE) results for ReOs after structural relaxation.

Values from the calculation:
Its formation energy is 0.20 eV per atom. The total energy comes out at -0.4277 Ha/atom. The crystal system is orthorhombic. The value obtained for the energy above the lowest structure with this stoichiometry is 0.59 eV/f.u.

Cell: 5.139 5.139 5.139 Å, 129.95 115.60 85.74°
Element x y z (fractional)
Re 0.000 0.000 0.000
Re 0.334 0.334 0.000
Re 0.831 0.331 0.500
Os 0.416 0.665 0.751
Os 0.498 0.998 0.500
Os 0.914 0.665 0.249

---

Entry 6:
DFT (PBE) results for DyCdGe2 after structural relaxation.

Values from the calculation:
Its formation energy is -0.22 eV per atom. The total energy comes out at -0.1435 Ha/atom. The crystal system is trigonal. The value obtained for the energy above the lowest structure with this stoichiometry is 0.91 eV/f.u.

Cell: 5.550 5.550 5.550 Å, 48.80 48.80 48.80°
Element x y z (fractional)
Dy 0.000 0.000 0.000
Cd 0.500 0.500 0.500
Ge 0.243 0.243 0.243
Ge 0.757 0.757 0.757

---

Entry 7:
DFT (PBE) results for YZr2GaBr after structural relaxation.

Values from the calculation:
The calculation puts the energy relative to the elements, uncorrected at 0.243 eV/atom. The total energy comes out at -0.1988 Ha/atom. The crystal system is tetragonal.

Cell: 4.985 4.985 5.376 Å, 90.00 90.00 90.00°
Element x y z (fractional)
Y 0.000 0.000 0.000
Zr 0.000 0.500 0.500
Zr 0.500 0.000 0.500
Ga 0.500 0.500 0.000
Br 0.500 0.500 0.500

---

Entry 8:
DFT (PBE) results for Ag2Ru after structural relaxation.

Values from the calculation:
Its formation energy is 0.59 eV per atom. The total energy comes out at -0.1620 Ha/atom. The crystal system is orthorhombic. The value obtained for the energy above the lowest structure with this stoichiometry is 0.69 eV/f.u.

Cell: 7.818 7.818 4.806 Å, 90.00 90.00 160.24°
Element x y z (fractional)
Ag 0.053 0.947 0.750
Ag 0.279 0.721 0.250
Ag 0.721 0.279 0.750
Ag 0.947 0.053 0.250
Ru 0.387 0.613 0.750
Ru 0.613 0.387 0.250

---

Entry 9:
DFT (PBE) results for RbNpAg2Cl6 after structural relaxation.

Values from the calculation:
The calculation puts the energy relative to the elements, uncorrected at -1.248 eV/atom. The total energy comes out at -0.1587 Ha/atom. The crystal system is trigonal.

Cell: 7.913 7.913 7.913 Å, 56.11 56.11 56.11°
Element x y z (fractional)
Rb 0.000 0.000 0.000
Np 0.494 0.494 0.494
Ag 0.253 0.253 0.253
Ag 0.696 0.696 0.696
Cl 0.099 0.713 0.456
Cl 0.326 0.553 0.884
Cl 0.456 0.099 0.713
Cl 0.553 0.884 0.326
Cl 0.713 0.456 0.099
Cl 0.884 0.326 0.553

---

Entry 10:
DFT (PBE) results for In2AgSn after structural relaxation.

Values from the calculation:
Its formation energy is 0.09 eV per atom. The total energy comes out at -0.1098 Ha/atom. The crystal system is cubic. The value obtained for the energy above the lowest structure with this stoichiometry is 0.21 eV/f.u.

Cell: 5.206 5.206 5.206 Å, 60.00 60.00 60.00°
Element x y z (fractional)
In 0.250 0.250 0.250
In 0.750 0.750 0.750
Ag 0.000 0.000 0.000
Sn 0.500 0.500 0.500

---

Entry 11:
DFT (PBE) results for LiZnP after structural relaxation.

Values from the calculation:
Its formation energy is -0.36 eV per atom. The total energy comes out at -0.1184 Ha/atom. The crystal system is trigonal.

Cell: 3.967 3.967 4.024 Å, 90.00 90.00 120.00°
Element x y z (fractional)
Li 0.000 0.000 0.000
Zn 0.333 0.667 0.501
P 0.667 0.333 0.500

---

Number 5 is which compound? ReOs

---

What is the formula in the tenth record? In2AgSn